1.
The following is a PBE calculation of a relaxed PaMnB14 crystal, from Alexandria.

Properties
**ΔE_f**: -2.07 eV/f.u.
**Space-group type**: Imma (74)

```
PaMnB14
1.0
-2.913 5.367 4.125
2.913 -5.367 4.125
2.913 5.367 -4.125
Pa Mn B
2 2 28
direct
0.379 0.129 0.250 Pa
0.621 0.871 0.750 Pa
0.000 0.000 0.500 Mn
0.000 0.500 0.000 Mn
0.001 0.132 0.869 B
0.030 0.203 0.329 B
0.030 0.701 0.827 B
0.086 0.670 0.416 B
0.201 0.533 0.668 B
0.222 0.498 0.400 B
0.222 0.822 0.724 B
0.238 0.868 0.369 B
0.246 0.330 0.916 B
0.366 0.533 0.832 B
0.374 0.203 0.673 B
0.374 0.701 0.171 B
0.402 0.178 0.900 B
0.402 0.502 0.224 B
0.598 0.498 0.776 B
0.598 0.822 0.100 B
0.626 0.299 0.829 B
0.626 0.797 0.327 B
0.634 0.467 0.168 B
0.754 0.670 0.084 B
0.762 0.132 0.631 B
0.778 0.178 0.276 B
0.778 0.502 0.600 B
0.799 0.467 0.332 B
0.914 0.330 0.584 B
0.970 0.299 0.173 B
0.970 0.797 0.671 B
0.999 0.868 0.131 B
```

=====

2.
The following is a PBE calculation of a relaxed PaMnB3 crystal, from Alexandria.

Properties
**ΔE_f**: -2.10 eV/f.u.
**Space-group type**: Cmcm (63)

```
PaMnB3
1.0
1.625 -11.126 0.000
1.625 11.126 0.000
0.000 0.000 3.057
Pa Mn B
2 2 6
direct
0.085 0.915 0.750 Pa
0.915 0.085 0.250 Pa
0.213 0.787 0.250 Mn
0.787 0.213 0.750 Mn
0.311 0.689 0.250 B
0.348 0.652 0.750 B
0.488 0.512 0.750 B
0.512 0.488 0.250 B
0.652 0.348 0.250 B
0.689 0.311 0.750 B
```

=====

3.
The following is a PBE calculation of a relaxed PaMnB crystal, from Alexandria.

Properties
**ΔE_f**: -0.35 eV/f.u.
**Space-group type**: R-3m (166)

```
PaMnB
1.0
1.816 1.048 8.060
-1.816 1.048 8.060
0.000 -2.097 8.060
Pa Mn B
2 2 2
direct
0.228 0.228 0.228 Pa
0.772 0.772 0.772 Pa
0.346 0.346 0.346 Mn
0.654 0.654 0.654 Mn
0.038 0.038 0.038 B
0.962 0.962 0.962 B
```

=====

4.
The following is a PBE calculation of a relaxed Pa3MnB7 crystal, from Alexandria.

Properties
**ΔE_f**: -5.60 eV/f.u.
**Space-group type**: Cmcm (63)

```
Pa3MnB7
1.0
1.728 -7.912 0.000
1.728 7.912 0.000
0.000 0.000 9.372
Pa Mn B
6 2 14
direct
0.106 0.894 0.562 Pa
0.106 0.894 0.938 Pa
0.248 0.752 0.250 Pa
0.752 0.248 0.750 Pa
0.894 0.106 0.062 Pa
0.894 0.106 0.438 Pa
0.053 0.947 0.250 Mn
0.947 0.053 0.750 Mn
0.274 0.726 0.534 B
0.274 0.726 0.966 B
0.368 0.632 0.654 B
0.368 0.632 0.846 B
0.462 0.538 0.250 B
0.477 0.523 0.595 B
0.477 0.523 0.905 B
0.523 0.477 0.095 B
0.523 0.477 0.405 B
0.538 0.462 0.750 B
0.632 0.368 0.154 B
0.632 0.368 0.346 B
0.726 0.274 0.034 B
0.726 0.274 0.466 B
```

=====

5.
The following is a PBE calculation of a relaxed PaMnB2 crystal, from Alexandria.

Properties
**ΔE_f**: -0.78 eV/f.u.
**Space-group type**: R-3m (166)

```
PaMnB2
1.0
1.777 1.026 4.503
-1.777 1.026 4.503
0.000 -2.052 4.503
Pa Mn B
1 1 2
direct
0.000 0.000 0.000 Pa
0.500 0.500 0.500 Mn
0.199 0.199 0.199 B
0.801 0.801 0.801 B
```

=====

6.
The following is a PBE calculation of a relaxed PaMnB2 crystal, from Alexandria.

Properties
**ΔE_f**: -1.14 eV/f.u.
**Space-group type**: Cmcm (63)

```
PaMnB2
1.0
2.316 -4.688 0.000
2.316 4.688 0.000
0.000 0.000 4.830
Pa Mn B
2 2 4
direct
0.167 0.833 0.750 Pa
0.833 0.167 0.250 Pa
0.500 0.500 0.000 Mn
0.500 0.500 0.500 Mn
0.087 0.274 0.750 B
0.274 0.087 0.250 B
0.726 0.913 0.750 B
0.913 0.726 0.250 B
```

=====

Q: Look up the ΔE_f of the fifth one.
A: -0.78 eV/f.u.